The following is a PBE calculation of CaYB2Pt after structural relaxation, from Alexandria.

## Properties
- Formation enthalpy at 0 K: 172.01 kJ per mole of atoms
- Calculated density: 4.48 g/cm3

a b c (Å): 4.493 6.346 4.493
angles (deg): 90.00 90.00 90.00
Element x y z (fractional)
Y 0.000 0.000 0.000
B 0.500 0.000 0.000
B 0.000 0.000 0.500
Ca 0.000 0.500 0.000
Pt 0.500 0.500 0.500